Sr3SiSn2Au6 | PBE | optimized geometry

```
Sr3SiSn2Au6
1.0
6.550 0.000 0.000
-3.275 5.672 0.000
0.000 0.000 8.434
Sr Si Sn Au
3 1 2 6
Cartesian
0.000 3.781 5.624
3.275 1.891 2.810
0.000 0.000 0.000
0.000 0.000 4.217
3.275 1.891 7.805
0.000 3.781 0.629
1.563 4.684 2.723
0.000 1.977 2.723
-1.563 4.684 2.723
3.275 3.695 5.711
1.712 0.988 5.711
4.838 0.988 5.711
```

Values from the calculation:
Volume, A^3/atom: 26.1
Energy relative to the elements, uncorrected, eV/atom: -0.5400